## Ba2SnHgTe4 (PBE)

Data for a geometry-optimized Ba2SnHgTe4 structure.

The final energy comes out at -3.45 eV per atom.

abc: 4.7048 8.2524 8.3889
angles: 69.13 90.00 90.00
Atoms (fractional coordinates):
1 Ba 0.0000 0.0000 0.0000
2 Ba 0.5000 0.0000 0.5000
3 Sn 0.0000 0.5000 0.5000
4 Hg 0.5000 0.5000 0.0000
5 Te 0.0000 0.7085 0.7710
6 Te 0.0000 0.2915 0.2290
7 Te 0.5000 0.7325 0.2641
8 Te 0.5000 0.2675 0.7359